Entry 1:
A relaxed structure of Zn2Sb2I. Source: the Alexandria database, functional PBE.

Cell and atoms, written as POSCAR:
```
Zn2Sb2I
1.0
-2.5717 2.5717 5.1165
2.5717 -2.5717 5.1165
2.5717 2.5717 -5.1165
Zn Sb I
2 2 1
Direct
0.2500 0.7500 0.5000
0.7500 0.2500 0.5000
0.1408 0.1408 0.0000
0.8592 0.8592 0.0000
0.5000 0.5000 0.0000
```

SG: I4/mmm, No. 139
D(E_F): 3.41 states/eV/cell
Formation energy from raw total energies: 68 meV per atom
E above lowest polymorph: 0.000 eV/atom


Entry 2:
A relaxed structure of Ti4AlV4. Source: the Alexandria database, functional PBE.

Cell and atoms, written as POSCAR:
```
Ti4AlV4
1.0
5.6260 0.0000 0.0000
0.0000 5.6260 0.0000
0.0000 0.0000 9.3296
Ti Al V
8 2 8
Direct
0.0394 0.2500 0.1933
0.2500 0.0394 0.6933
0.2500 0.4606 0.6933
0.4606 0.2500 0.1933
0.5394 0.7500 0.8067
0.7500 0.5394 0.3067
0.7500 0.9606 0.3067
0.9606 0.7500 0.8067
0.2500 0.7500 0.2500
0.7500 0.2500 0.7500
0.0215 0.2500 0.4846
0.2500 0.0215 0.9846
0.2500 0.4785 0.9846
0.4785 0.2500 0.4846
0.5215 0.7500 0.5154
0.7500 0.5215 0.0154
0.7500 0.9785 0.0154
0.9785 0.7500 0.5154
```

SG: P4_2/nmc, No. 137
D(E_F): 17.34 states/eV/cell
Energy of formation: 0.523 eV per atom


Entry 3:
A relaxed structure of Pa2GaSb4. Source: the Alexandria database, functional PBE.

Cell and atoms, written as POSCAR:
```
Pa2GaSb4
1.0
4.4468 0.0000 0.0000
0.0000 4.4468 0.0000
0.0000 0.0000 9.2386
Pa Ga Sb
2 1 4
Direct
0.0000 0.5000 0.2398
0.5000 0.0000 0.7602
0.5000 0.5000 0.0000
0.0000 0.0000 0.5000
0.0000 0.5000 0.8191
0.5000 0.0000 0.1809
0.5000 0.5000 0.5000
```

SG: P-4m2, No. 115
D(E_F): 8.54 states/eV/cell
Formation energy from raw total energies: -312 meV per atom